Record 1
Here is KPrS after structural relaxation from the Alexandria database. Energies are from PBE.

Results
ρ: 3.177 g/cm3
Crystal system: trigonal
Energy: -4.3938 eV per atom
Formation energy from raw total energies: -24.4 kcal/mol of atoms
Spin magnetization: 0.461 μB/f.u.

a b c (Å): 4.1759 4.1759 44.0458
angles (deg): 90.00 90.00 120.00
Space group R-3m (No. 166, hexagonal axes)
Symmetry-distinct sites (fractional):
K 0.0000 0.0000 0.1189
Pr 0.0000 0.0000 0.2965
S 0.0000 0.0000 0.4051

---

Record 2
Here is KPr4S5 after structural relaxation from the Alexandria database. Energies are from PBE.

Results
ρ: 4.989 g/cm3
Crystal system: orthorhombic
Energy: -6.0043 eV per atom
Formation energy from raw total energies: -44.3 kcal/mol of atoms
Spin magnetization: 0.000 μB/f.u.

a b c (Å): 4.134 5.850 21.004
angles (deg): 90.00 90.00 90.00
Space group Immm (No. 71)
Symmetry-distinct sites (fractional):
K 0.000 0.000 0.000
Pr 0.000 0.000 0.205
Pr 0.000 0.000 0.399
S 0.000 0.500 0.000
S 0.000 0.500 0.198
S 0.000 0.500 0.392

---

Record 3
Here is KPr3S4 after structural relaxation from the Alexandria database. Energies are from PBE.

Results
ρ: 4.628 g/cm3
Crystal system: hexagonal
Energy: -5.9114 eV per atom
Formation energy from raw total energies: -44.2 kcal/mol of atoms
Spin magnetization: 0.000 μB/f.u.

a b c (Å): 4.1606 4.1606 28.2482
angles (deg): 90.00 90.00 120.00
Space group P6_3/mmc (No. 194)
Symmetry-distinct sites (fractional):
K 0.3333 0.6667 0.2500
Pr 0.0000 0.0000 0.0000
Pr 0.3333 0.6667 0.6177
S 0.0000 0.0000 0.1730
S 0.3333 0.6667 0.0593

---

Record 4
Here is KPr6S8 after structural relaxation from the Alexandria database. Energies are from PBE.

Results
ρ: 3.494 g/cm3
Crystal system: trigonal
Energy: -5.9461 eV per atom
Formation energy from raw total energies: -40.6 kcal/mol of atoms
Spin magnetization: 0.002 μB/f.u.

a b c (Å): 12.1737 12.1737 12.6775
angles (deg): 90.00 90.00 120.00
Space group R-3 (No. 148, hexagonal axes)
Symmetry-distinct sites (fractional):
K 0.0000 0.0000 0.0000
Pr 0.0029 0.1876 0.6273
S 0.0000 0.0000 0.2425
S 0.0006 0.2606 0.4128

---

Record 5
Here is K3Pr3SbS8 after structural relaxation from the Alexandria database. Energies are from PBE.

Results
ρ: 3.398 g/cm3
Crystal system: trigonal
Energy: -5.1389 eV per atom
Formation energy from raw total energies: -34.3 kcal/mol of atoms
Spin magnetization: 0.000 μB/f.u.

a b c (Å): 8.3065 8.3065 22.5326
angles (deg): 90.00 90.00 120.00
Space group R-3m (No. 166, hexagonal axes)
Symmetry-distinct sites (fractional):
K 0.0000 0.5000 0.0000
Pr 0.0000 0.5000 0.5000
Sb 0.0000 0.0000 0.5000
S 0.0000 0.0000 0.2360
S 0.0226 0.5113 0.2323

---

Record 6
Here is K2PrSbS4 after structural relaxation from the Alexandria database. Energies are from PBE.

Results
ρ: 3.566 g/cm3
Crystal system: orthorhombic
Energy: -4.6962 eV per atom
Formation energy from raw total energies: -28.7 kcal/mol of atoms
Spin magnetization: 0.000 μB/f.u.

a b c (Å): 8.451 8.584 12.045
angles (deg): 90.00 90.00 90.00
Space group Imma (No. 74)
Symmetry-distinct sites (fractional):
K 0.000 0.000 0.000
K 0.250 0.250 0.250
Pr 0.000 0.000 0.500
Sb 0.250 0.250 0.750
S 0.000 0.030 0.739
S 0.227 0.250 0.517

---

Record 7
Here is KPrSc4S8 after structural relaxation from the Alexandria database. Energies are from PBE.

Results
ρ: 2.881 g/cm3
Crystal system: trigonal
Energy: -6.3455 eV per atom
Formation energy from raw total energies: -40.5 kcal/mol of atoms
Spin magnetization: 0.000 μB/f.u.

a b c (Å): 7.7872 7.7872 20.2908
angles (deg): 90.00 90.00 120.00
Space group R3m (No. 160, hexagonal axes)
Symmetry-distinct sites (fractional):
K 0.0000 0.0000 0.0000
Pr 0.0000 0.0000 0.6400
Sc 0.0000 0.0000 0.2627
Sc 0.1735 0.3470 0.4669
S 0.0000 0.0000 0.3927
S 0.0000 0.0000 0.8637
S 0.0314 0.5157 0.4009
S 0.1693 0.3385 0.2135

---

Record 8
Here is K3Pr2ScS6 after structural relaxation from the Alexandria database. Energies are from PBE.

Results
ρ: 3.270 g/cm3
Crystal system: monoclinic
Energy: -5.4553 eV per atom
Formation energy from raw total energies: -41.3 kcal/mol of atoms
Spin magnetization: 0.000 μB/f.u.

a b c (Å): 7.110 12.318 7.755
angles (deg): 90.00 107.87 90.00
Space group C2/m (No. 12)
Symmetry-distinct sites (fractional):
K 0.000 0.000 0.000
K 0.000 0.332 0.000
Pr 0.000 0.166 0.500
Sc 0.000 0.500 0.500
S 0.224 0.344 0.703
S 0.244 0.500 0.298

---

Q: Number 6 is which compound?
A: K2PrSbS4

---

Q: What is the formula in the fourth record?
A: KPr6S8

---

Q: Which of these has the highest energy?
A: KPrS

---

Q: Among the records above, which one has the lowest ρ?
A: KPrSc4S8